# Zr2SeBr PBE optimized geometry
# uncorrected formation energy: -0.480 eV/atom
# total moment: 0.000 μB per cell
# excess energy over the best structure of this formula in the dataset: 164 kJ/mol of formula units
# N(E_F): 0.801 states/eV per atom
data_Zr2SeBr
_chemical_formula_sum 'Zr2 Se1 Br1'
_space_group_name_H-M_alt 'P 1'
_space_group_IT_number 1
_cell_length_a 3.336
_cell_length_b 4.401
_cell_length_c 6.119
_cell_angle_alpha 90.00
_cell_angle_beta 90.00
_cell_angle_gamma 90.00
loop_
_space_group_symop_operation_xyz
'x,y,z'
loop_
_atom_site_label
_atom_site_fract_x
_atom_site_fract_y
_atom_site_fract_z
Zr1 0.000 0.000 0.000
Zr2 0.500 0.000 0.500
Se1 0.000 0.500 0.500
Br1 0.500 0.500 0.000

---

# ZrSe2Br PBE optimized geometry
# uncorrected formation energy: -0.625 eV/atom
# total moment: 0.000 μB per cell
# excess energy over the best structure of this formula in the dataset: 133 kJ/mol of formula units
# N(E_F): 1.069 states/eV per atom
data_ZrSe2Br
_chemical_formula_sum 'Zr1 Se2 Br1'
_space_group_name_H-M_alt 'P 1'
_space_group_IT_number 1
_cell_length_a 3.276
_cell_length_b 3.276
_cell_length_c 10.331
_cell_angle_alpha 90.00
_cell_angle_beta 90.00
_cell_angle_gamma 90.00
loop_
_space_group_symop_operation_xyz
'x,y,z'
loop_
_atom_site_label
_atom_site_fract_x
_atom_site_fract_y
_atom_site_fract_z
Zr1 0.000 0.000 0.000
Se1 0.500 0.500 0.160
Se2 0.500 0.500 0.840
Br1 0.000 0.000 0.500

---

# ZrSeBr4 PBE optimized geometry
# uncorrected formation energy: 0.568 eV/atom
# total moment: 0.000 μB per cell
# N(E_F): 1.126 states/eV per atom
data_ZrSeBr4
_chemical_formula_sum 'Zr1 Se1 Br4'
_space_group_name_H-M_alt 'P 1'
_space_group_IT_number 1
_cell_length_a 5.956
_cell_length_b 5.956
_cell_length_c 5.956
_cell_angle_alpha 60.00
_cell_angle_beta 60.00
_cell_angle_gamma 60.00
loop_
_space_group_symop_operation_xyz
'x,y,z'
loop_
_atom_site_label
_atom_site_fract_x
_atom_site_fract_y
_atom_site_fract_z
Zr1 0.000 0.000 0.000
Se1 0.250 0.250 0.250
Br1 0.124 0.625 0.625
Br2 0.625 0.124 0.625
Br3 0.625 0.625 0.124
Br4 0.625 0.625 0.625

---

# ZrSeBr2 PBE optimized geometry
# uncorrected formation energy: -0.924 eV/atom
# total moment: 0.000 μB per cell
# excess energy over the best structure of this formula in the dataset: 119 kJ/mol of formula units
# N(E_F): 0.559 states/eV per atom
data_ZrSeBr2
_chemical_formula_sum 'Zr2 Se2 Br4'
_space_group_name_H-M_alt 'P 1'
_space_group_IT_number 1
_cell_length_a 3.372
_cell_length_b 4.675
_cell_length_c 15.563
_cell_angle_alpha 90.00
_cell_angle_beta 90.00
_cell_angle_gamma 90.00
loop_
_space_group_symop_operation_xyz
'x,y,z'
loop_
_atom_site_label
_atom_site_fract_x
_atom_site_fract_y
_atom_site_fract_z
Zr1 0.000 0.000 0.000
Zr2 0.500 0.500 0.500
Se1 0.000 0.000 0.500
Se2 0.500 0.500 0.000
Br1 0.000 0.500 0.355
Br2 0.000 0.500 0.645
Br3 0.500 0.000 0.145
Br4 0.500 0.000 0.855

---

# ZrSe2Br PBE optimized geometry
# uncorrected formation energy: 0.332 eV/atom
# total moment: 0.000 μB per cell
# excess energy over the best structure of this formula in the dataset: 503 kJ/mol of formula units
# N(E_F): 1.039 states/eV per atom
data_ZrSe2Br
_chemical_formula_sum 'Zr3 Se6 Br3'
_space_group_name_H-M_alt 'P 1'
_space_group_IT_number 1
_cell_length_a 3.516
_cell_length_b 3.516
_cell_length_c 28.927
_cell_angle_alpha 90.00
_cell_angle_beta 90.00
_cell_angle_gamma 120.00
loop_
_space_group_symop_operation_xyz
'x,y,z'
loop_
_atom_site_label
_atom_site_fract_x
_atom_site_fract_y
_atom_site_fract_z
Zr1 0.000 0.000 0.000
Zr2 0.333 0.667 0.667
Zr3 0.667 0.333 0.333
Se1 0.000 0.000 0.087
Se2 0.000 0.000 0.913
Se3 0.333 0.667 0.580
Se4 0.333 0.667 0.754
Se5 0.667 0.333 0.246
Se6 0.667 0.333 0.420
Br1 0.000 0.000 0.500
Br2 0.333 0.667 0.167
Br3 0.667 0.333 0.833

---

# ZrSe2Br PBE optimized geometry
# uncorrected formation energy: -0.352 eV/atom
# total moment: 0.342 μB per cell
# excess energy over the best structure of this formula in the dataset: 238 kJ/mol of formula units
# N(E_F): 0.379 states/eV per atom
data_ZrSe2Br
_chemical_formula_sum 'Zr2 Se4 Br2'
_space_group_name_H-M_alt 'P 1'
_space_group_IT_number 1
_cell_length_a 5.242
_cell_length_b 9.081
_cell_length_c 3.825
_cell_angle_alpha 90.00
_cell_angle_beta 90.00
_cell_angle_gamma 90.00
loop_
_space_group_symop_operation_xyz
'x,y,z'
loop_
_atom_site_label
_atom_site_fract_x
_atom_site_fract_y
_atom_site_fract_z
Zr1 0.000 0.000 0.000
Zr2 0.500 0.500 0.000
Se1 0.250 0.250 0.500
Se2 0.250 0.750 0.500
Se3 0.750 0.250 0.500
Se4 0.750 0.750 0.500
Br1 0.000 0.500 0.000
Br2 0.500 0.000 0.000